First-principles (GGA+U) data for a relaxed structure of TcNiNO2, as listed in Alexandria via LeMat-Bulk.

Output
Total DFT energy (no corrections)   -6.3598 eV/atom
Density of states at the Fermi level   2.2 states/eV/cell

Lattice parameters (Å, degrees): 3.849 3.849 3.873 90.00 90.00 90.00
Each line ends with the local moment (μB).
Sites, in units of the cell vectors:
Ni  0.500  0.500  0.500  1.04
O  0.000  0.500  0.000  0.01
O  0.500  0.000  0.000  0.01
N  0.000  0.000  0.500  -0.04
Tc  0.000  0.000  0.000  -0.07